# 1
Material: Sr2Li2Zn3
Method: DFT, GGA-PBE
State: optimized geometry

Lattice parameters (Å, degrees): 11.3930 4.7715 7.1613 90.00 110.10 90.00
With the nearest neighbours (Å) after each atom.
Space group C2/m (No. 12)
One atom of each set of equivalent atoms:
Sr1 0.1766 0.0000 0.2245  4 Li 3.31-3.60, 6 Zn 3.39-3.53
Li1 0.0918 0.0000 0.6911  4 Zn 2.77-2.81, 1 Li 2.82
Zn1 0.0000 0.5000 0.5000  2 Zn 2.50, 4 Li 2.77
Zn2 0.0509 0.5000 0.8680  2 Zn 2.50-2.54


# 2
Material: SrLi3Zn3
Method: DFT, GGA-PBE
State: optimized geometry

Lattice parameters (Å, degrees): 8.9666 8.9666 4.4949 90.00 90.00 120.00
With the nearest neighbours (Å) after each atom.
Space group P6_3/m (No. 176)
One atom of each set of equivalent atoms:
Sr1 0.3333 0.6667 0.2500  9 Zn 3.06-3.20
Li1 0.0362 0.2610 0.7500  4 Zn 2.83-2.96, 4 Li 3.14
Zn1 0.0520 0.5993 0.7500  2 Zn 2.73, 4 Li 2.83-2.96

Distance to the lowest polymorph of the same formula, meV/atom: 0


# 3
Material: Sr2Li4Zn3
Method: DFT, GGA-PBE
State: optimized geometry

Lattice parameters (Å, degrees): 5.6274 10.1465 14.7900 90.00 90.00 90.00
With the nearest neighbours (Å) after each atom.
Space group Fmmm (No. 69)
One atom of each set of equivalent atoms:
Sr1 0.0000 0.0000 0.1284  8 Li 3.34-3.59, 6 Zn 3.39-3.47
Li1 0.0000 0.1746 0.3392  3 Zn 2.87-2.97, 3 Li 3.05-3.20
Zn1 0.0000 0.0000 0.5000  4 Zn 2.90, 4 Li 2.97
Zn2 0.2500 0.2500 0.0000  4 Zn 2.81-2.90, 4 Li 2.87


# 4
Material: Sr2LiZn3
Method: DFT, GGA-PBE
State: optimized geometry

Lattice parameters (Å, degrees): 8.6756 9.2984 16.0341 90.00 90.00 90.00
With the nearest neighbours (Å) after each atom.
Space group Fmmm (No. 69)
One atom of each set of equivalent atoms:
Sr1 0.2460 0.0000 0.0000  10 Zn 3.41-3.46, 2 Li 3.43
Sr2 0.2500 0.2500 0.2500  4 Li 3.44, 8 Zn 3.46-3.47
Li1 0.0000 0.0000 0.1676  3 Zn 2.72-2.75
Zn1 0.0000 0.0000 0.3374  2 Zn 2.61, 1 Li 2.72
Zn2 0.0000 0.2440 0.4181  2 Zn 2.61-2.63, 1 Li 2.75


# 5
Material: SrLiZn4
Method: DFT, GGA-PBE
State: optimized geometry

Lattice parameters (Å, degrees): 7.7867 7.7867 7.7867 90.00 90.00 90.00
With the nearest neighbours (Å) after each atom.
Space group F-43m (No. 216)
One atom of each set of equivalent atoms:
Sr1 0.0000 0.0000 0.0000  12 Zn 3.23, 4 Li 3.37
Li1 0.2500 0.2500 0.2500  12 Zn 3.22, 4 Sr 3.37
Zn1 0.1229 0.1229 0.6229  6 Zn 2.71-2.80

Distance to the lowest polymorph of the same formula, meV/atom: 0


# 6
Material: Sr8LiZn2
Method: DFT, GGA-PBE
State: optimized geometry

Lattice parameters (Å, degrees): 10.2621 15.1041 6.4717 90.00 105.37 90.00
With the nearest neighbours (Å) after each atom.
Space group Cm (No. 8)
One atom of each set of equivalent atoms:
Sr1 0.0000 0.0000 0.0000  2 Zn 3.46, 1 Li 3.77
Sr2 0.0800 0.3684 0.7890  2 Zn 3.38-3.39
Sr3 0.1811 0.1315 0.6070  2 Zn 3.38-3.39
Sr4 0.2612 0.5000 0.3958  2 Zn 3.47, 1 Li 3.78
Sr5 0.3805 0.2414 0.1980  2 Zn 3.41, 1 Li 3.65
Li1 0.3806 0.0000 0.1926  4 Sr 3.65-3.78
Zn1 0.3806 0.3133 0.6983  8 Sr 3.38-3.47


# 7
Material: Sr3Li3Zn2
Method: DFT, GGA-PBE
State: optimized geometry

Lattice parameters (Å, degrees): 5.4360 11.9140 14.7187 90.00 90.00 90.00
With the nearest neighbours (Å) after each atom.
Space group Cmcm (No. 63)
One atom of each set of equivalent atoms:
Sr1 0.0000 0.0496 0.2500  2 Zn 3.39, 7 Li 3.54-3.69
Sr2 0.0000 0.1585 0.5341  3 Zn 3.34-3.45, 5 Li 3.40-3.66, 2 Sr 3.63
Li1 0.0000 0.2602 0.7500  4 Zn 3.13, 2 Li 3.35, 2 Sr 3.40
Li2 0.0000 0.4669 0.5954  1 Zn 2.80, 1 Li 2.92
Zn1 0.0000 0.3140 0.1640  1 Zn 2.53, 1 Li 2.80


# 8
Material: SrLi5Zn
Method: DFT, GGA-PBE
State: optimized geometry

Lattice parameters (Å, degrees): 4.0539 4.0539 10.0930 90.00 90.00 90.00
With the nearest neighbours (Å) after each atom.
Space group P4/mmm (No. 123)
One atom of each set of equivalent atoms:
Sr1 0.0000 0.0000 0.0000  8 Li 3.63, 4 Sr 4.05
Li1 0.0000 0.0000 0.5000  4 Zn 2.87, 8 Li 2.87
Li2 0.0000 0.5000 0.2982  6 Li 2.87, 2 Zn 2.87
Zn1 0.5000 0.5000 0.5000  12 Li 2.87


Here are the calculated magnetization numbers, same order: 0.0, 0.0, 0.0, 0.0, 0.0, 0.0, 0.0, 0.0 (μB per cell).
Here are the calculated calculated formation energy numbers, same order: -95, -60, -82, -98, -98, -18, -25, -3 (kJ/mol of formula units).
Here are the calculated total DFT energy (no corrections) numbers, same order: -1.7146, -1.6956, -1.7436, -1.6858, -1.6182, -1.6459, -1.6993, -1.7942 (eV/atom).